TlAgSb at its PBEsol-relaxed geometry. Source: Alexandria, functional meta-GGA SCAN.

Properties
E_tot, eV per atom: -46.784
E above lowest polymorph, eV per atom: 0.115
E_form (uncorrected), meV per atom: 212

Cell: 4.885 4.885 4.885 Å, 60.00 60.00 60.00°
Fractional coordinates of all 3 atoms:
Tl 0.000 0.000 0.000
Ag 0.500 0.500 0.500
Sb 0.250 0.250 0.250

BeCrAs2Br at its PBEsol-relaxed geometry. Source: Alexandria, functional meta-GGA SCAN.

Properties
E_tot, eV per atom: -16.080
E_form (uncorrected), meV per atom: 435

Cell: 4.348 4.348 5.062 Å, 90.00 90.00 90.00°
Fractional coordinates of all 5 atoms:
Cr 0.500 0.500 0.500
As 0.000 0.500 0.000
Br 0.000 0.000 0.500
As 0.500 0.000 0.000
Be 0.000 0.000 0.000

K2Sb2Rh at its PBEsol-relaxed geometry. Source: Alexandria, functional meta-GGA SCAN.

Properties
E_tot, eV per atom: -25.438
E_form (uncorrected), meV per atom: -448

Cell: 5.793 6.840 6.840 Å, 90.00 90.00 90.00°
Fractional coordinates of all 10 atoms:
K 0.500 0.326 0.174
Sb 0.000 0.852 0.648
Rh 0.000 0.000 0.000
Rh 0.000 0.500 0.500
K 0.500 0.174 0.674
K 0.500 0.674 0.826
Sb 0.000 0.352 0.852
Sb 0.000 0.648 0.148
Sb 0.000 0.148 0.352
K 0.500 0.826 0.326

Sr3AgPd at its PBEsol-relaxed geometry. Source: Alexandria, functional meta-GGA SCAN.

Properties
E_tot, eV per atom: -26.389
Formation energy from the elements, eV/atom: -0.195

Cell: 5.741 5.741 5.741 Å, 90.00 90.00 90.00°
Fractional coordinates of all 5 atoms:
Sr 0.500 0.000 0.000
Ag 0.500 0.500 0.500
Sr 0.000 0.500 0.000
Pd 0.000 0.000 0.000
Sr 0.000 0.000 0.500

BaZnCd2 at its PBEsol-relaxed geometry. Source: Alexandria, functional meta-GGA SCAN.

Properties
E_tot, eV per atom: -28.609
Formation energy from the elements, eV/atom: -0.136

Cell: 5.242 5.242 5.242 Å, 60.00 60.00 60.00°
Fractional coordinates of all 4 atoms:
Cd 0.750 0.750 0.750
Zn 0.500 0.500 0.500
Cd 0.000 0.000 0.000
Ba 0.250 0.250 0.250

Fe2AsAu at its PBEsol-relaxed geometry. Source: Alexandria, functional meta-GGA SCAN.

Properties
E_tot, eV per atom: -31.316
Formation energy from the elements, eV/atom: 0.086

Cell: 2.961 4.392 4.711 Å, 98.02 90.00 109.70°
Fractional coordinates of all 4 atoms:
As 0.518 0.036 0.565
Fe 0.986 0.971 0.958
Au 0.734 0.468 0.226
Fe 0.262 0.525 0.751

TaHg2Sb at its PBEsol-relaxed geometry. Source: Alexandria, functional meta-GGA SCAN.

Properties
E_tot, eV per atom: -59.757
E_form (uncorrected), meV per atom: 287

Cell: 3.617 3.617 6.303 Å, 90.00 90.00 90.00°
Fractional coordinates of all 4 atoms:
Sb 0.000 0.000 0.531
Hg 0.000 0.000 0.000
Ta 0.500 0.500 0.732
Hg 0.500 0.500 0.237

SbSeI2O at its PBEsol-relaxed geometry. Source: Alexandria, functional meta-GGA SCAN.

Properties
E_tot, eV per atom: -27.156
E_form (uncorrected), meV per atom: 255

Cell: 3.766 5.852 5.852 Å, 90.00 90.00 90.00°
Fractional coordinates of all 5 atoms:
Se 0.000 0.000 0.000
Sb 0.500 0.500 0.500
I 0.000 0.500 0.000
O 0.500 0.000 0.000
I 0.000 0.000 0.500

LiPb2 at its PBEsol-relaxed geometry. Source: Alexandria, functional meta-GGA SCAN.

Properties
E_tot, eV per atom: -51.482
Formation energy from the elements, eV/atom: -0.164
E above lowest polymorph, eV per atom: 0.069

Cell: 5.224 5.224 6.481 Å, 90.00 90.00 120.00°
Fractional coordinates of all 6 atoms:
Pb 0.333 0.667 0.250
Pb 0.000 0.000 0.000
Pb 0.667 0.333 0.750
Li 0.333 0.667 0.750
Pb 0.000 0.000 0.500
Li 0.667 0.333 0.250

LaS2N at its PBEsol-relaxed geometry. Source: Alexandria, functional meta-GGA SCAN.

Properties
E_tot, eV per atom: -17.935
E_form (uncorrected), meV per atom: -22

Cell: 5.086 5.086 7.204 Å, 110.67 110.67 90.00°
Fractional coordinates of all 8 atoms:
S 0.625 0.491 0.750
S 0.509 0.875 0.250
La 0.250 0.750 0.500
S 0.741 0.375 0.250
N 0.500 0.500 0.000
N 0.750 0.250 0.500
S 0.125 0.259 0.750
La 0.000 0.000 0.000

BaSr3In at its PBEsol-relaxed geometry. Source: Alexandria, functional meta-GGA SCAN.

Properties
E_tot, eV per atom: -28.087
Formation energy from the elements, eV/atom: -0.135

Cell: 6.414 6.414 6.414 Å, 90.00 90.00 90.00°
Fractional coordinates of all 5 atoms:
Sr 0.500 0.000 0.000
Sr 0.000 0.000 0.500
Sr 0.000 0.500 0.000
Ba 0.500 0.500 0.500
In 0.000 0.000 0.000

Li3TiV3O8 at its PBEsol-relaxed geometry. Source: Alexandria, functional meta-GGA SCAN.

Properties
E_tot, eV per atom: -11.029
E above lowest polymorph, eV per atom: 0.019
E_form (uncorrected), meV per atom: -2662

Cell: 5.597 5.597 9.591 Å, 90.00 90.00 120.00°
Fractional coordinates of all 30 atoms:
O 0.025 0.512 0.846
O 0.488 0.975 0.846
Li 0.328 0.164 0.943
Li 0.672 0.836 0.443
O 0.163 0.837 0.094
O 0.837 0.674 0.594
O 0.326 0.163 0.594
O 0.163 0.326 0.094
O 0.512 0.488 0.346
Li 0.836 0.672 0.943
O 0.667 0.333 0.075
O 0.837 0.163 0.594
V 0.189 0.811 0.716
O 0.512 0.025 0.346
V 0.811 0.623 0.216
O 0.674 0.837 0.094
O 0.000 0.000 0.317
O 0.000 0.000 0.817
Li 0.164 0.328 0.443
V 0.811 0.189 0.216
Li 0.164 0.836 0.443
V 0.189 0.377 0.716
O 0.333 0.667 0.575
Ti 0.667 0.333 0.504
Li 0.836 0.164 0.943
Ti 0.333 0.667 0.004
V 0.377 0.189 0.216
O 0.488 0.512 0.846
O 0.975 0.488 0.346
V 0.623 0.811 0.716

RbCO2 at its PBEsol-relaxed geometry. Source: Alexandria, functional meta-GGA SCAN.

Properties
E_tot, eV per atom: -12.499
E_form (uncorrected), meV per atom: -1674

Cell: 6.279 8.231 10.407 Å, 90.00 90.00 98.78°
Fractional coordinates of all 32 atoms:
Rb 0.288 0.478 0.797
Rb 0.712 0.522 0.203
O 0.995 0.281 0.163
Rb 0.229 0.335 0.419
O 0.240 0.997 0.402
O 0.461 0.691 0.372
O 0.738 0.336 0.446
O 0.539 0.309 0.628
O 0.240 0.497 0.098
Rb 0.771 0.665 0.581
Rb 0.712 0.022 0.297
O 0.005 0.219 0.663
O 0.005 0.719 0.837
O 0.738 0.836 0.054
C 0.690 0.275 0.557
O 0.539 0.809 0.872
C 0.690 0.775 0.943
O 0.995 0.781 0.337
Rb 0.771 0.165 0.919
C 0.830 0.655 0.891
O 0.262 0.664 0.554
O 0.760 0.503 0.902
O 0.760 0.003 0.598
C 0.830 0.155 0.609
C 0.170 0.845 0.391
Rb 0.288 0.978 0.703
C 0.310 0.225 0.057
C 0.310 0.725 0.443
O 0.262 0.164 0.946
Rb 0.229 0.835 0.081
O 0.461 0.191 0.128
C 0.170 0.345 0.109

NaMnAl2 at its PBEsol-relaxed geometry. Source: Alexandria, functional meta-GGA SCAN.

Properties
E_tot, eV per atom: -9.416
Formation energy from the elements, eV/atom: 0.078

Cell: 4.499 4.499 4.499 Å, 60.00 60.00 60.00°
Fractional coordinates of all 4 atoms:
Al 0.250 0.250 0.250
Al 0.750 0.750 0.750
Mn 0.500 0.500 0.500
Na 0.000 0.000 0.000

CaTe2Br at its PBEsol-relaxed geometry. Source: Alexandria, functional meta-GGA SCAN.

Properties
E_tot, eV per atom: -27.087
E above lowest polymorph, eV per atom: 0.000
E_form (uncorrected), meV per atom: -1181

Cell: 4.253 4.253 6.995 Å, 90.11 90.00 90.00°
Fractional coordinates of all 4 atoms:
Te 0.500 0.626 0.085
Br 0.000 0.625 0.598
Ca 0.500 0.124 0.732
Te 0.000 0.126 0.085

SrNi3Sb at its PBEsol-relaxed geometry. Source: Alexandria, functional meta-GGA SCAN.

Properties
E_tot, eV per atom: -21.363
E_form (uncorrected), meV per atom: 248

Cell: 4.690 4.690 4.690 Å, 90.00 90.00 90.00°
Fractional coordinates of all 5 atoms:
Ni 0.500 0.000 0.000
Sr 0.500 0.500 0.500
Ni 0.000 0.000 0.500
Sb 0.000 0.000 0.000
Ni 0.000 0.500 0.000

Cd4Si3 at its PBEsol-relaxed geometry. Source: Alexandria, functional meta-GGA SCAN.

Properties
E_tot, eV per atom: -20.991
E_form (uncorrected), meV per atom: 681

Cell: 5.454 5.454 5.454 Å, 90.00 90.00 90.00°
Fractional coordinates of all 7 atoms:
Si 0.500 0.000 0.500
Si 0.000 0.500 0.500
Cd 0.190 0.190 0.810
Cd 0.810 0.190 0.190
Cd 0.190 0.810 0.190
Cd 0.810 0.810 0.810
Si 0.500 0.500 0.000

MnAuO2 at its PBEsol-relaxed geometry. Source: Alexandria, functional meta-GGA SCAN.

Properties
E_tot, eV per atom: -26.239
E_form (uncorrected), meV per atom: -1270

Cell: 3.038 3.038 6.326 Å, 76.10 76.10 60.00°
Fractional coordinates of all 4 atoms:
Au 0.000 0.000 0.000
O 0.113 0.113 0.662
O 0.887 0.887 0.338
Mn 0.500 0.500 0.500

ZnCuAu2 at its PBEsol-relaxed geometry. Source: Alexandria, functional meta-GGA SCAN.

Properties
E_tot, eV per atom: -41.915
Formation energy from the elements, eV/atom: -0.158

Cell: 2.859 4.139 5.214 Å, 90.00 106.78 90.00°
Fractional coordinates of all 4 atoms:
Zn 0.448 0.500 0.762
Cu 0.301 0.000 0.485
Au 0.704 0.500 0.296
Au 0.047 0.000 0.956

TeOs2Br at its PBEsol-relaxed geometry. Source: Alexandria, functional meta-GGA SCAN.

Properties
E_tot, eV per atom: -49.058
E above lowest polymorph, eV per atom: 0.000
E_form (uncorrected), meV per atom: 1060

Cell: 2.894 2.981 10.132 Å, 90.00 90.00 119.03°
Fractional coordinates of all 4 atoms:
Br 0.500 0.000 0.793
Os 0.000 0.000 0.020
Te 0.000 0.000 0.463
Os 0.500 0.000 0.224